Entry from Alexandria via LeMat-Bulk: TaCdNF2 after structural relaxation (GGA-PBE).

```
TaCdNF2
1.0
4.0209 0.0000 0.0000
0.0000 4.0209 0.0000
0.0000 0.0000 4.9720
F Cd N Ta
2 1 1 1
direct
0.0000 0.5000 0.0000 F
0.5000 0.0000 0.0000 F
0.0000 0.0000 0.0000 Cd
0.0000 0.0000 0.5000 N
0.5000 0.5000 0.5000 Ta
```

## Properties
As for the uncorrected formation energy: 0.28 eV per atom. Its energy above the lowest structure with this stoichiometry is 1.493 eV/atom. As for the space-group type: P4/mmm, No. 123.


Entry from Alexandria via LeMat-Bulk: TaCdNF2 after structural relaxation (GGA-PBE).

```
TaCdNF2
1.0
-3.4289 -0.6177 2.4458
1.0000 -4.1220 0.3609
2.1940 0.8197 3.2829
N F Cd Ta
1 2 1 1
direct
0.0000 0.0000 0.5000 N
0.5000 0.0000 0.0000 F
0.0000 0.5000 0.0000 F
0.5000 0.5000 0.5000 Cd
0.0000 0.0000 0.0000 Ta
```

## Properties
As for the uncorrected formation energy: -1.21 eV per atom. Its energy above the lowest structure with this stoichiometry is 0.000 eV/atom. As for the space-group type: P4/mmm, No. 123.